Entry 1:
## Li2NbNiAs (PBE)

Data for an optimized crystal structure of Li2NbNiAs.

a b c (Å): 4.3111 4.3111 4.9566
angles (deg): 90.00 90.00 90.00
Last column: nearest neighbours and their distance in Å.
Space group P4/mmm (No. 123)
Inequivalent atoms, fractional coordinates:
Li (0.0000, 0.5000, 0.0000)  2 As 2.16
Nb (0.0000, 0.0000, 0.5000)  2 As 2.48
Ni (0.5000, 0.5000, 0.5000)  4 Nb 3.05, 8 Li 3.28
As (0.0000, 0.0000, 0.0000)  4 Li 2.16

Calculated formation energy   1.96 eV per formula unit

---

Entry 2:
## Pr5Si2Hg (PBE)

Data for an optimized crystal structure of Pr5Si2Hg.

a b c (Å): 7.8449 7.8449 15.0241
angles (deg): 90.00 90.00 90.00
Last column: nearest neighbours and their distance in Å.
Space group I4/mcm (No. 140)
Inequivalent atoms, fractional coordinates:
Pr (0.0000, 0.0000, 0.0000)  4 Si 3.15
Pr (0.1762, 0.3238, 0.1394)  3 Si 3.13, 2 Hg 3.34
Si (0.1145, 0.3855, 0.5000)  1 Si 2.54
Hg (0.0000, 0.0000, 0.2500)  8 Pr 3.34

Raw formation energy   -511.5 meV per atom

---

Entry 3:
## Pa2TlGaO8 (PBE)

Data for an optimized crystal structure of Pa2TlGaO8.

a b c (Å): 5.1002 5.1002 8.3169
angles (deg): 90.00 90.00 120.00
Last column: nearest neighbours and their distance in Å.
Space group P-3m1 (No. 164)
Inequivalent atoms, fractional coordinates:
Pa (0.3333, 0.6667, 0.3621)  1 O 1.88
Tl (0.0000, 0.0000, 0.0000)  12 O 3.15-3.45
Ga (0.0000, 0.0000, 0.5000)  6 O 1.91
O (0.1778, 0.3555, 0.6313)  1 Ga 1.91
O (0.3333, 0.6667, 0.1362)  1 Pa 1.88

Raw formation energy   -2088.5 meV per atom

---

Entry 4:
## KCl5 (PBE)

Data for an optimized crystal structure of KCl5.

a b c (Å): 4.0280 3.5963 24.5931
angles (deg): 90.00 90.00 90.00
Last column: nearest neighbours and their distance in Å.
Space group Amm2 (No. 38)
Inequivalent atoms, fractional coordinates:
K (0.0000, 0.0000, 0.0000)  4 Cl 2.98
Cl (0.0000, 0.0000, 0.2888)  4 Cl 2.70
Cl (0.0000, 0.0000, 0.6192)  4 Cl 2.70
Cl (0.5000, 0.0000, 0.1191)  4 Cl 2.70
Cl (0.5000, 0.0000, 0.4488)  4 K 2.98
Cl (0.5000, 0.0000, 0.7888)  4 Cl 2.70

Raw formation energy   -291.0 meV per atom
Energy above the most stable polymorph in this dataset   371.7 meV per atom

---

Entry 5:
## KBa2Mn (PBE)

Data for an optimized crystal structure of KBa2Mn.

a b c (Å): 8.2156 4.4462 11.9705
angles (deg): 90.00 99.80 90.00
Last column: nearest neighbours and their distance in Å.
Space group C2/m (No. 12)
Inequivalent atoms, fractional coordinates:
K (0.0000, 0.0000, 0.0000)  6 K 4.45-4.67, 6 Ba 4.62-4.78
Ba (0.2190, 0.0000, 0.6693)  3 Mn 3.32
Mn (0.0000, 0.5000, 0.5000)  6 Ba 3.32

Calculated formation energy   1.70 eV per formula unit
Energy above the most stable polymorph in this dataset   73.5 meV per atom

---

Entry 6:
## Er3Sc3Tl2Co (PBE)

Data for an optimized crystal structure of Er3Sc3Tl2Co.

a b c (Å): 8.3164 8.3164 3.6976
angles (deg): 90.00 90.00 120.00
Last column: nearest neighbours and their distance in Å.
Space group P-62m (No. 189)
Inequivalent atoms, fractional coordinates:
Er (0.0000, 0.3903, 0.0000)  4 Tl 3.16, 1 Co 3.25, 4 Sc 3.37
Sc (0.0000, 0.7752, 0.5000)  2 Co 2.63
Tl (0.3333, 0.6667, 0.5000)  6 Er 3.16, 3 Sc 3.32
Co (0.0000, 0.0000, 0.0000)  6 Sc 2.63

Calculated formation energy   -2.50 eV per formula unit